A geometry-optimized Nb2V4Mo structure, computed with PBE.

POSCAR file:
```
Nb2V4Mo
1.0
-2.2344 2.2344 6.4623
2.2344 -2.2344 6.4623
2.2344 2.2344 -6.4623
Nb V Mo
2 4 1
Cartesian
0.0000 0.0000 1.6366 Nb
0.0000 0.0000 11.2881 Nb
2.2344 0.0000 0.0000 V
0.0000 0.0000 4.0193 V
0.0000 2.2344 0.0000 V
0.0000 0.0000 8.9054 V
0.0000 0.0000 6.4623 Mo
```

As for the calculated total energy: -8.525 eV/atom. For the calculated formation energy, the calculation gives 1110 meV per atom. The spin magnetization comes out at 0.71 μB per formula unit. The calculation puts the energy above the most stable polymorph in this dataset at 700 meV per atom.